A plane-wave DFT calculation with PBE+U was carried out for an optimized crystal structure of CaNi2O4.

a b c (Å): 5.1289 5.1289 9.6454
angles (deg): 90.00 90.00 145.20
With the nearest neighbours (Å) after each atom.
Positions (direct):
Ca 0.6056 0.3944 0.2500  6 O 2.25-2.40
Ca 0.3944 0.6056 0.7500  6 O 2.25-2.40
Ni 0.1384 0.8616 0.5683  4 O 1.90-2.03
Ni 0.8616 0.1384 0.4317  4 O 1.90-2.03
Ni 0.1384 0.8616 0.9317  4 O 1.90-2.03
Ni 0.8616 0.1384 0.0683  4 O 1.90-2.03
O 0.7694 0.2306 0.8936  3 Ni 1.91-2.03
O 0.2306 0.7694 0.1064  3 Ni 1.91-2.03
O 0.2306 0.7694 0.3936  3 Ni 1.91-2.03
O 0.7694 0.2306 0.6064  3 Ni 1.91-2.03
O 0.0632 0.9368 0.7500  2 Ni 1.90
O 0.9368 0.0632 0.2500  2 Ni 1.90
O 0.5000 0.5000 0.5000  4 Ni 2.15
O 0.5000 0.5000 0.0000  4 Ni 2.15

SG = Cmcm, No. 63
E = -73.02 eV per cell
Polymorph energy (0 for the lowest one) = 0.0344 eV/atom
Calculated volume = 144.8 Å³ per cell